Entry 1:
RbZnB2 (PBE, relaxed); electronic total energy = -2.70 eV/atom
1.0
-3.073 3.091 -1.871
-2.143 0.418 4.211
1.666 7.004 2.824
Zn Rb B
2 2 4
direct
0.500 0.500 0.000
0.250 0.750 0.500
0.750 0.250 0.500
0.000 0.000 0.000
0.375 0.625 0.750
0.375 0.625 0.250
0.875 0.625 0.750
0.375 0.125 0.250

=====

Entry 2:
TaBr (PBE, relaxed); ΔE_f (raw) = 0.71 eV per atom; electronic total energy = -6.06 eV/atom
1.0
5.405 0.000 0.000
0.000 5.405 0.000
0.000 0.000 5.405
Br Ta
4 4
direct
0.648 0.852 0.148
0.852 0.148 0.648
0.148 0.648 0.852
0.352 0.352 0.352
0.416 0.916 0.584
0.584 0.416 0.916
0.084 0.084 0.084
0.916 0.584 0.416

=====

Entry 3:
Sm2HS3 (PBE, relaxed); electronic total energy = -5.69 eV/atom
1.0
3.945 0.000 0.000
0.000 10.609 0.000
0.000 0.000 10.959
S Sm H
12 8 4
direct
0.250 0.792 0.719
0.250 0.380 0.047
0.750 0.292 0.781
0.250 0.120 0.547
0.750 0.564 0.626
0.750 0.936 0.126
0.750 0.880 0.453
0.750 0.208 0.281
0.250 0.064 0.874
0.750 0.620 0.953
0.250 0.708 0.219
0.250 0.436 0.374
0.750 0.316 0.526
0.750 0.509 0.198
0.750 0.991 0.698
0.750 0.184 0.026
0.250 0.684 0.474
0.250 0.816 0.974
0.250 0.491 0.802
0.250 0.009 0.302
0.750 0.861 0.868
0.250 0.139 0.132
0.250 0.361 0.632
0.750 0.639 0.368